(one)
VASP calculation (GGA-PBEsol) on a geometry-optimized Al5Ag structure.

Computed properties:
DOS(E_F) ... 0.376 states/eV per atom

Lattice parameters (Å, degrees): 9.526 2.827 7.965 90.00 114.53 90.00
Space group C2/m (No. 12)
Inequivalent atoms, fractional coordinates:
Al  0.000  0.000  0.000 (multiplicity 2)
Al  0.162  0.500  0.334 (multiplicity 4)
Al  0.169  0.500  0.832 (multiplicity 4)
Ag  0.000  0.000  0.500 (multiplicity 2)

(two)
VASP calculation (GGA-PBEsol) on a geometry-optimized Al5Ag structure.

Computed properties:
DOS(E_F) ... 0.334 states/eV per atom

Lattice parameters (Å, degrees): 2.870 2.870 11.787 90.00 90.00 90.00
Space group P4/mmm (No. 123)
Inequivalent atoms, fractional coordinates:
Al  0.000  0.000  0.000 (multiplicity 1)
Al  0.000  0.000  0.334 (multiplicity 2)
Al  0.500  0.500  0.166 (multiplicity 2)
Ag  0.500  0.500  0.500 (multiplicity 1)

(three)
VASP calculation (GGA-PBEsol) on a geometry-optimized Al5Ag structure.

Computed properties:
DOS(E_F) ... 0.505 states/eV per atom

Lattice parameters (Å, degrees): 4.9409 4.9409 4.6785 90.00 90.00 120.00
Space group P-62m (No. 189)
Inequivalent atoms, fractional coordinates:
Al  0.0000  0.3333  0.0000 (multiplicity 3)
Al  0.3333  0.6667  0.5000 (multiplicity 2)
Ag  0.0000  0.0000  0.5000 (multiplicity 1)

We find (two) to be the most stable, with the next structure 9 meV per atom higher.

(one)
VASP calculation (GGA-PBEsol) on a geometry-optimized Al5Ag4 structure.

Computed properties:
DOS(E_F) ... 0.309 states/eV per atom

Lattice parameters (Å, degrees): 4.882 4.951 7.465 71.22 72.01 60.53
Space group P1 (No. 1)
Inequivalent atoms, fractional coordinates:
Al  0.000  0.000  0.000 (multiplicity 1)
Al  0.106  0.465  0.662 (multiplicity 1)
Al  0.329  0.336  0.000 (multiplicity 1)
Al  0.442  0.800  0.662 (multiplicity 1)
Al  0.875  0.557  0.331 (multiplicity 1)
Ag  0.211  0.886  0.333 (multiplicity 1)
Ag  0.542  0.221  0.330 (multiplicity 1)
Ag  0.669  0.673  0.994 (multiplicity 1)
Ag  0.771  0.138  0.667 (multiplicity 1)

(two)
VASP calculation (GGA-PBEsol) on a geometry-optimized Al5Ag4 structure.

Computed properties:
DOS(E_F) ... 0.325 states/eV per atom

Lattice parameters (Å, degrees): 4.974 4.974 7.287 89.42 70.88 60.11
Space group P-1 (No. 2)
Inequivalent atoms, fractional coordinates:
Al  0.000  0.000  0.000 (multiplicity 1)
Al  0.213  0.234  0.660 (multiplicity 2)
Al  0.330  0.335  0.999 (multiplicity 2)
Ag  0.128  0.098  0.324 (multiplicity 2)
Ag  0.457  0.430  0.326 (multiplicity 2)

(three)
VASP calculation (GGA-PBEsol) on a geometry-optimized Al5Ag4 structure.

Computed properties:
DOS(E_F) ... 0.385 states/eV per atom

Lattice parameters (Å, degrees): 8.541 8.541 4.011 90.00 90.00 90.00
Space group I4/mmm (No. 139)
Inequivalent atoms, fractional coordinates:
Al  0.000  0.000  0.000 (multiplicity 2)
Al  0.167  0.167  0.500 (multiplicity 8)
Ag  0.000  0.324  0.000 (multiplicity 8)

We find (two) to be the most stable, with the next structure 22 meV per atom higher.